(1)
The following is a PBE calculation of crystalline Pr2SmNb2N6 at its relaxed geometry, from the Open Quantum Materials Database.

a = 10.249 Å, b = 10.249 Å, c = 10.249 Å
α = 157.18°, β = 157.18°, γ = 32.49°
Sites, in units of the cell vectors:
Nb: 0.401 0.401 0.000
Nb: 0.599 0.599 0.000
Pr: 0.179 0.179 0.000
Pr: 0.821 0.821 0.000
N: 0.581 0.081 0.500
N: 0.081 0.581 0.500
N: 0.301 0.301 0.000
N: 0.699 0.699 0.000
N: 0.419 0.919 0.500
N: 0.919 0.419 0.500
Sm: 0.000 0.000 0.000

Computed properties:
The space group is I4/mmm, No. 139. The value obtained for the energy is -97.9 eV per cell. The calculation puts the total magnetization at 0.000 μB/cell.

(2)
The following is a PBE calculation of crystalline RbNb3N5 at its relaxed geometry, from the Open Quantum Materials Database.

a = 5.348 Å, b = 5.348 Å, c = 6.398 Å
α = 90.00°, β = 90.00°, γ = 120.00°
Sites, in units of the cell vectors:
N: 0.000 0.000 0.500
N: 0.333 0.667 0.716
N: 0.667 0.333 0.716
N: 0.333 0.667 0.284
N: 0.667 0.333 0.284
Nb: 0.500 0.000 0.500
Nb: 0.000 0.500 0.500
Nb: 0.500 0.500 0.500
Rb: 0.000 0.000 0.000

Computed properties:
The space group is P6/mmm, No. 191. The value obtained for the energy is -71.5 eV per cell. The calculation puts the total magnetization at 0.002 μB/cell.

(3)
The following is a PBE calculation of crystalline Rb2NbReN4 at its relaxed geometry, from the Open Quantum Materials Database.

a = 6.085 Å, b = 6.085 Å, c = 6.085 Å
α = 120.91°, β = 120.91°, γ = 88.44°
Sites, in units of the cell vectors:
N: 0.954 0.614 0.824
N: 0.869 0.046 0.660
N: 0.791 0.131 0.176
N: 0.386 0.209 0.340
Re: 0.750 0.250 0.500
Rb: 0.500 0.500 0.000
Rb: 0.250 0.750 0.500
Nb: 0.000 0.000 0.000

Computed properties:
The space group is I-4, No. 82. The value obtained for the energy is -61.0 eV per cell. The calculation puts the total magnetization at 0.015 μB/cell.

(4)
The following is a PBE calculation of crystalline Sm3Nb3Re2N12 at its relaxed geometry, from the Open Quantum Materials Database.

a = 11.177 Å, b = 11.177 Å, c = 11.177 Å
α = 109.47°, β = 109.47°, γ = 109.47°
Sites, in units of the cell vectors:
N: 0.386 0.305 0.479
N: 0.521 0.406 0.825
N: 0.594 0.175 0.479
N: 0.594 0.919 0.114
N: 0.021 0.195 0.114
N: 0.614 0.695 0.521
N: 0.175 0.195 0.581
N: 0.114 0.594 0.919
N: 0.886 0.406 0.081
N: 0.979 0.805 0.886
N: 0.521 0.614 0.695
N: 0.614 0.419 0.094
N: 0.195 0.581 0.175
N: 0.305 0.325 0.919
N: 0.695 0.675 0.081
N: 0.081 0.695 0.675
N: 0.805 0.886 0.979
N: 0.675 0.094 0.979
N: 0.325 0.919 0.305
N: 0.386 0.581 0.906
N: 0.406 0.081 0.886
N: 0.695 0.521 0.614
N: 0.114 0.021 0.195
N: 0.919 0.114 0.594
N: 0.581 0.906 0.386
N: 0.825 0.805 0.419
N: 0.919 0.305 0.325
N: 0.906 0.386 0.581
N: 0.021 0.325 0.906
N: 0.081 0.886 0.406
N: 0.675 0.081 0.695
N: 0.094 0.614 0.419
N: 0.094 0.979 0.675
N: 0.581 0.175 0.195
N: 0.906 0.021 0.325
N: 0.195 0.114 0.021
N: 0.175 0.479 0.594
N: 0.325 0.906 0.021
N: 0.479 0.594 0.175
N: 0.886 0.979 0.805
N: 0.805 0.419 0.825
N: 0.479 0.386 0.305
N: 0.979 0.675 0.094
N: 0.419 0.094 0.614
N: 0.825 0.521 0.406
N: 0.406 0.825 0.521
N: 0.305 0.479 0.386
N: 0.419 0.825 0.805
Nb: 0.625 0.375 0.250
Nb: 0.250 0.125 0.875
Nb: 0.875 0.250 0.125
Nb: 0.125 0.875 0.250
Nb: 0.750 0.375 0.625
Nb: 0.625 0.750 0.375
Nb: 0.125 0.750 0.875
Nb: 0.875 0.125 0.750
Nb: 0.375 0.250 0.625
Nb: 0.250 0.625 0.375
Nb: 0.375 0.625 0.750
Nb: 0.750 0.875 0.125
Sm: 0.375 0.125 0.250
Sm: 0.375 0.750 0.125
Sm: 0.625 0.250 0.875
Sm: 0.125 0.375 0.750
Sm: 0.250 0.875 0.625
Sm: 0.250 0.375 0.125
Sm: 0.750 0.625 0.875
Sm: 0.125 0.250 0.375
Sm: 0.750 0.125 0.375
Sm: 0.625 0.875 0.750
Sm: 0.875 0.750 0.625
Sm: 0.875 0.625 0.250
Re: 0.000 0.000 0.500
Re: 0.500 0.500 0.500
Re: 0.000 0.500 0.000
Re: 0.500 0.000 0.500
Re: 0.500 0.500 0.000
Re: 0.000 0.500 0.500
Re: 0.500 0.000 0.000
Re: 0.000 0.000 0.000

Computed properties:
The space group is Ia-3d, No. 230. The value obtained for the energy is -732.1 eV per cell. The calculation puts the total magnetization at 1.484 μB/cell.

(5)
The following is a PBE calculation of crystalline Tb3Nb2Re3N12 at its relaxed geometry, from the Open Quantum Materials Database.

a = 11.075 Å, b = 11.075 Å, c = 11.075 Å
α = 109.47°, β = 109.47°, γ = 109.47°
Sites, in units of the cell vectors:
Tb: 0.625 0.250 0.875
Tb: 0.125 0.375 0.750
Tb: 0.125 0.250 0.375
Tb: 0.875 0.750 0.625
Tb: 0.750 0.125 0.375
Tb: 0.250 0.875 0.625
Tb: 0.625 0.875 0.750
Tb: 0.875 0.625 0.250
Tb: 0.750 0.625 0.875
Tb: 0.250 0.375 0.125
Tb: 0.375 0.750 0.125
Tb: 0.375 0.125 0.250
Nb: 0.500 0.500 0.000
Nb: 0.500 0.500 0.500
Nb: 0.000 0.500 0.000
Nb: 0.000 0.000 0.000
Nb: 0.000 0.500 0.500
Nb: 0.000 0.000 0.500
Nb: 0.500 0.000 0.000
Nb: 0.500 0.000 0.500
N: 0.522 0.403 0.814
N: 0.686 0.097 0.978
N: 0.881 0.403 0.088
N: 0.403 0.088 0.881
N: 0.412 0.814 0.793
N: 0.793 0.881 0.978
N: 0.314 0.912 0.293
N: 0.707 0.522 0.619
N: 0.022 0.314 0.903
N: 0.903 0.381 0.588
N: 0.978 0.793 0.881
N: 0.597 0.912 0.119
N: 0.978 0.686 0.097
N: 0.912 0.293 0.314
N: 0.381 0.588 0.903
N: 0.207 0.119 0.022
N: 0.686 0.088 0.707
N: 0.088 0.707 0.686
N: 0.903 0.022 0.314
N: 0.119 0.597 0.912
N: 0.097 0.978 0.686
N: 0.597 0.186 0.478
N: 0.207 0.588 0.186
N: 0.814 0.522 0.403
N: 0.403 0.814 0.522
N: 0.814 0.793 0.412
N: 0.186 0.207 0.588
N: 0.293 0.478 0.381
N: 0.022 0.207 0.119
N: 0.912 0.119 0.597
N: 0.619 0.707 0.522
N: 0.522 0.619 0.707
N: 0.186 0.478 0.597
N: 0.088 0.881 0.403
N: 0.293 0.314 0.912
N: 0.793 0.412 0.814
N: 0.707 0.686 0.088
N: 0.588 0.903 0.381
N: 0.381 0.293 0.478
N: 0.097 0.619 0.412
N: 0.119 0.022 0.207
N: 0.478 0.381 0.293
N: 0.881 0.978 0.793
N: 0.478 0.597 0.186
N: 0.314 0.903 0.022
N: 0.588 0.186 0.207
N: 0.412 0.097 0.619
N: 0.619 0.412 0.097
Re: 0.125 0.750 0.875
Re: 0.625 0.375 0.250
Re: 0.125 0.875 0.250
Re: 0.750 0.375 0.625
Re: 0.875 0.125 0.750
Re: 0.875 0.250 0.125
Re: 0.250 0.125 0.875
Re: 0.375 0.250 0.625
Re: 0.625 0.750 0.375
Re: 0.375 0.625 0.750
Re: 0.750 0.875 0.125
Re: 0.250 0.625 0.375

Computed properties:
The space group is Ia-3d, No. 230. The value obtained for the energy is -743.0 eV per cell. The calculation puts the total magnetization at 0.066 μB/cell.

(6)
The following is a PBE calculation of crystalline Tm3Nb3Re2N12 at its relaxed geometry, from the Open Quantum Materials Database.

a = 10.991 Å, b = 10.991 Å, c = 10.991 Å
α = 109.47°, β = 109.47°, γ = 109.47°
Sites, in units of the cell vectors:
N: 0.701 0.674 0.084
N: 0.584 0.910 0.383
N: 0.090 0.617 0.416
N: 0.527 0.617 0.701
N: 0.674 0.084 0.701
N: 0.584 0.174 0.201
N: 0.084 0.701 0.674
N: 0.826 0.799 0.416
N: 0.910 0.383 0.584
N: 0.916 0.299 0.326
N: 0.027 0.326 0.910
N: 0.473 0.383 0.299
N: 0.826 0.527 0.410
N: 0.590 0.916 0.117
N: 0.410 0.084 0.883
N: 0.473 0.590 0.174
N: 0.383 0.299 0.473
N: 0.383 0.584 0.910
N: 0.201 0.117 0.027
N: 0.590 0.174 0.473
N: 0.799 0.883 0.973
N: 0.416 0.826 0.799
N: 0.410 0.826 0.527
N: 0.799 0.416 0.826
N: 0.527 0.410 0.826
N: 0.299 0.473 0.383
N: 0.916 0.117 0.590
N: 0.027 0.201 0.117
N: 0.174 0.473 0.590
N: 0.973 0.799 0.883
N: 0.617 0.416 0.090
N: 0.201 0.584 0.174
N: 0.910 0.027 0.326
N: 0.174 0.201 0.584
N: 0.326 0.910 0.027
N: 0.701 0.527 0.617
N: 0.973 0.674 0.090
N: 0.416 0.090 0.617
N: 0.090 0.973 0.674
N: 0.084 0.883 0.410
N: 0.883 0.973 0.799
N: 0.117 0.027 0.201
N: 0.883 0.410 0.084
N: 0.299 0.326 0.916
N: 0.326 0.916 0.299
N: 0.117 0.590 0.916
N: 0.617 0.701 0.527
N: 0.674 0.090 0.973
Tm: 0.875 0.750 0.625
Tm: 0.250 0.375 0.125
Tm: 0.125 0.375 0.750
Tm: 0.375 0.750 0.125
Tm: 0.250 0.875 0.625
Tm: 0.875 0.625 0.250
Tm: 0.750 0.625 0.875
Tm: 0.625 0.875 0.750
Tm: 0.375 0.125 0.250
Tm: 0.125 0.250 0.375
Tm: 0.625 0.250 0.875
Tm: 0.750 0.125 0.375
Re: 0.000 0.000 0.000
Re: 0.000 0.500 0.500
Re: 0.500 0.500 0.000
Re: 0.000 0.500 0.000
Re: 0.500 0.000 0.500
Re: 0.000 0.000 0.500
Re: 0.500 0.500 0.500
Re: 0.500 0.000 0.000
Nb: 0.250 0.125 0.875
Nb: 0.750 0.375 0.625
Nb: 0.125 0.875 0.250
Nb: 0.250 0.625 0.375
Nb: 0.875 0.250 0.125
Nb: 0.750 0.875 0.125
Nb: 0.375 0.625 0.750
Nb: 0.375 0.250 0.625
Nb: 0.625 0.375 0.250
Nb: 0.125 0.750 0.875
Nb: 0.875 0.125 0.750
Nb: 0.625 0.750 0.375

Computed properties:
The space group is Ia-3d, No. 230. The value obtained for the energy is -729.6 eV per cell. The calculation puts the total magnetization at 0.041 μB/cell.

(7)
The following is a PBE calculation of crystalline Tm3Nb2Re3N12 at its relaxed geometry, from the Open Quantum Materials Database.

a = 10.977 Å, b = 10.977 Å, c = 10.977 Å
α = 109.47°, β = 109.47°, γ = 109.47°
Sites, in units of the cell vectors:
Tm: 0.375 0.750 0.125
Tm: 0.250 0.875 0.625
Tm: 0.125 0.375 0.750
Tm: 0.625 0.875 0.750
Tm: 0.750 0.625 0.875
Tm: 0.875 0.750 0.625
Tm: 0.250 0.375 0.125
Tm: 0.875 0.625 0.250
Tm: 0.125 0.250 0.375
Tm: 0.750 0.125 0.375
Tm: 0.375 0.125 0.250
Tm: 0.625 0.250 0.875
N: 0.089 0.711 0.685
N: 0.711 0.526 0.621
N: 0.526 0.404 0.815
N: 0.211 0.121 0.026
N: 0.589 0.904 0.379
N: 0.121 0.026 0.211
N: 0.411 0.096 0.621
N: 0.596 0.185 0.474
N: 0.621 0.411 0.096
N: 0.026 0.315 0.904
N: 0.474 0.379 0.289
N: 0.211 0.589 0.185
N: 0.404 0.815 0.526
N: 0.404 0.089 0.879
N: 0.974 0.789 0.879
N: 0.096 0.974 0.685
N: 0.026 0.211 0.121
N: 0.089 0.879 0.404
N: 0.789 0.411 0.815
N: 0.379 0.589 0.904
N: 0.411 0.815 0.789
N: 0.185 0.474 0.596
N: 0.526 0.621 0.711
N: 0.596 0.911 0.121
N: 0.379 0.289 0.474
N: 0.904 0.379 0.589
N: 0.589 0.185 0.211
N: 0.879 0.404 0.089
N: 0.685 0.089 0.711
N: 0.815 0.789 0.411
N: 0.904 0.026 0.315
N: 0.315 0.911 0.289
N: 0.621 0.711 0.526
N: 0.289 0.315 0.911
N: 0.911 0.121 0.596
N: 0.185 0.211 0.589
N: 0.974 0.685 0.096
N: 0.879 0.974 0.789
N: 0.815 0.526 0.404
N: 0.685 0.096 0.974
N: 0.711 0.685 0.089
N: 0.789 0.879 0.974
N: 0.121 0.596 0.911
N: 0.315 0.904 0.026
N: 0.289 0.474 0.379
N: 0.096 0.621 0.411
N: 0.911 0.289 0.315
N: 0.474 0.596 0.185
Re: 0.125 0.750 0.875
Re: 0.250 0.125 0.875
Re: 0.875 0.250 0.125
Re: 0.875 0.125 0.750
Re: 0.625 0.375 0.250
Re: 0.750 0.375 0.625
Re: 0.125 0.875 0.250
Re: 0.625 0.750 0.375
Re: 0.250 0.625 0.375
Re: 0.375 0.625 0.750
Re: 0.750 0.875 0.125
Re: 0.375 0.250 0.625
Nb: 0.500 0.500 0.000
Nb: 0.500 0.000 0.500
Nb: 0.000 0.000 0.500
Nb: 0.000 0.500 0.000
Nb: 0.000 0.000 0.000
Nb: 0.500 0.000 0.000
Nb: 0.000 0.500 0.500
Nb: 0.500 0.500 0.500

Computed properties:
The space group is Ia-3d, No. 230. The value obtained for the energy is -740.2 eV per cell. The calculation puts the total magnetization at 1.406 μB/cell.